[1]
The following is a PBE calculation of a relaxed structure of K4Ce3DyTe8, from the Alexandria database.

Calculated values
total energy: -4.602 eV/atom
symmetry: No. 166

Geometry as extended XYZ:
```
16
Lattice="4.6211 2.6680 8.2221 -4.6211 2.6680 8.2221 0.0000 -5.3360 8.2221" Properties=species:S:1:pos:R:3 pbc="T T T"
K 0.0000 0.0000 0.0000
K -2.3105 -1.3340 8.2221
K -2.3105 1.3340 16.4442
K 0.0000 2.6680 8.2221
Ce -4.6211 0.0000 12.3331
Ce -2.3105 1.3340 4.1110
Ce 2.3105 1.3340 4.1111
Dy 0.0000 0.0000 12.3332
Te 0.0000 0.0000 5.8792
Te -2.2581 -1.3037 14.0723
Te 0.0000 -2.6074 10.5940
Te -2.2581 1.3037 10.5940
Te 2.2581 -1.3037 14.0723
Te 0.0000 2.6074 14.0723
Te 2.2581 1.3037 10.5940
Te 0.0000 0.0000 18.7871
```


[2]
The following is a PBE calculation of a relaxed structure of K4CeDy3Te8, from the Alexandria database.

Calculated values
total energy: -4.458 eV/atom
symmetry: No. 166

Geometry as extended XYZ:
```
16
Lattice="4.5398 2.6211 8.2445 -4.5398 2.6211 8.2445 0.0000 -5.2422 8.2445" Properties=species:S:1:pos:R:3 pbc="T T T"
K 0.0000 0.0000 0.0000
K -2.2699 -1.3105 8.2445
K -2.2699 1.3105 16.4890
K 0.0000 2.6211 8.2445
Ce 0.0000 0.0000 12.3667
Dy -4.5398 0.0000 12.3667
Dy -2.2699 1.3105 4.1222
Dy 2.2699 1.3105 4.1222
Te -2.3232 -1.3413 14.1004
Te 0.0000 0.0000 5.8309
Te 0.0000 -2.6826 10.6331
Te -2.3232 1.3413 10.6331
Te 2.3232 -1.3413 14.1004
Te 0.0000 2.6826 14.1004
Te 0.0000 0.0000 18.9026
Te 2.3232 1.3413 10.6331
```


[3]
The following is a PBE calculation of a relaxed structure of LaCe2Dy, from the Alexandria database.

Calculated values
energy above the lowest structure with this stoichiometry: 86 meV per atom
total energy: -5.154 eV/atom
symmetry: No. 166
energy of formation: 195 meV per atom

Geometry as extended XYZ:
```
4
Lattice="1.6941 0.9781 12.2492 -1.6941 0.9781 12.2492 0.0000 -1.9562 12.2492" Properties=species:S:1:pos:R:3 pbc="T T T"
La 0.0000 0.0000 0.0000
Ce 0.0000 0.0000 3.1981
Ce 0.0000 0.0000 33.5496
Dy 0.0000 0.0000 18.3739
```


[4]
The following is a PBE calculation of a relaxed structure of LaCe2Dy, from the Alexandria database.

Calculated values
energy above the lowest structure with this stoichiometry: 162 meV per atom
total energy: -5.079 eV/atom
symmetry: No. 225
energy of formation: 271 meV per atom

Geometry as extended XYZ:
```
4
Lattice="0.0000 4.0450 4.0450 4.0450 0.0000 4.0450 4.0450 4.0450 0.0000" Properties=species:S:1:pos:R:3 pbc="T T T"
La 0.0000 0.0000 0.0000
Ce 2.0225 2.0225 2.0225
Ce 6.0676 6.0676 6.0676
Dy 4.0450 4.0450 4.0450
```


[5]
The following is a PBE calculation of a relaxed structure of LaCe2Dy, from the Alexandria database.

Calculated values
energy above the lowest structure with this stoichiometry: 1 meV per atom
total energy: -5.239 eV/atom
symmetry: No. 160
energy of formation: 110 meV per atom

Geometry as extended XYZ:
```
4
Lattice="1.7533 1.0123 11.6858 -1.7533 1.0123 11.6858 0.0000 -2.0246 11.6858" Properties=species:S:1:pos:R:3 pbc="T T T"
La 0.0000 0.0000 0.0000
Ce 0.0000 0.0000 8.6347
Ce 0.0000 0.0000 14.5861
Dy 0.0000 0.0000 29.1045
```


[6]
The following is a PBE calculation of a relaxed structure of La3CeDy, from the Alexandria database.

Calculated values
total energy: -4.829 eV/atom
symmetry: No. 194
energy of formation: 234 meV per atom

Geometry as extended XYZ:
```
10
Lattice="7.6704 0.0000 0.0000 -3.8352 6.6428 0.0000 0.0000 0.0000 6.6417" Properties=species:S:1:pos:R:3 pbc="T T T"
La 0.0000 2.5185 1.6604
La -1.6542 5.3836 1.6604
La 2.1811 1.2592 4.9813
La 1.6542 5.3836 1.6604
La 5.4894 1.2592 4.9813
La 3.8352 4.1243 4.9813
Ce 0.0000 0.0000 0.0000
Ce 0.0000 0.0000 3.3208
Dy 0.0000 4.4285 4.9813
Dy 3.8352 2.2143 1.6604
```


[7]
The following is a PBE calculation of a relaxed structure of La2CeDy4, from the Alexandria database.

Calculated values
total energy: -4.837 eV/atom
symmetry: No. 8
energy of formation: 49 meV per atom

Geometry as extended XYZ:
```
7
Lattice="3.1312 -1.8043 0.0000 3.1312 1.8043 0.0000 -2.0722 0.0000 20.4111" Properties=species:S:1:pos:R:3 pbc="T T T"
La 0.0000 0.0000 0.0000
La -0.0397 0.0000 5.9152
Ce -0.0560 0.0000 11.7125
Dy -0.0158 0.0000 17.3805
Dy 2.0534 0.0000 3.0001
Dy 4.1478 0.0000 8.8654
Dy 4.1575 0.0000 14.5808
```


[8]
The following is a PBE calculation of a relaxed structure of La6CeDy4, from the Alexandria database.

Calculated values
total energy: -4.772 eV/atom
symmetry: No. 63
energy of formation: 129 meV per atom

Geometry as extended XYZ:
```
22
Lattice="2.9646 -4.9104 0.0000 2.9646 4.9104 0.0000 0.0000 0.0000 26.3046" Properties=species:S:1:pos:R:3 pbc="T T T"
La 0.0000 0.0000 0.0000
La 0.0000 0.0000 13.1523
La 2.9646 4.4338 19.7285
La 2.9646 1.9238 2.6021
La 2.9646 1.9238 10.5502
La 2.9646 1.2273 17.9202
La 2.9646 1.2273 21.5368
La 2.9646 -1.2273 4.7678
La 2.9646 -1.2273 8.3845
La 2.9646 -1.9238 15.7544
La 2.9646 -1.9238 23.7025
La 2.9646 -4.4338 6.5762
Ce 2.9646 2.0223 6.5762
Ce 2.9646 -2.0223 19.7285
Dy 2.9646 4.5276 16.4384
Dy 2.9646 4.5276 23.0186
Dy 2.9646 1.5062 14.3306
Dy 2.9646 1.5062 25.1263
Dy 2.9646 -1.5062 1.1783
Dy 2.9646 -1.5062 11.9740
Dy 2.9646 -4.5276 3.2861
Dy 2.9646 -4.5276 9.8663
```


[9]
The following is a PBE calculation of a relaxed structure of La4CeDy5, from the Alexandria database.

Calculated values
total energy: -4.665 eV/atom
symmetry: No. 12
energy of formation: 200 meV per atom

Geometry as extended XYZ:
```
10
Lattice="8.6142 -1.7641 0.0000 8.6142 1.7641 0.0000 -0.1395 0.0000 11.3990" Properties=species:S:1:pos:R:3 pbc="T T T"
La 0.5062 0.0000 2.7662
La 5.7510 0.0000 2.8647
La 11.3379 0.0000 8.5343
La 16.5827 0.0000 8.6328
Ce 8.6142 0.0000 0.0000
Dy 2.9332 0.0000 0.5028
Dy 2.9118 0.0000 5.1381
Dy 8.5445 0.0000 5.6995
Dy 14.1771 0.0000 6.2610
Dy 14.1557 0.0000 10.8963
```


[10]
The following is a PBE calculation of a relaxed structure of La12CeDy3, from the Alexandria database.

Calculated values
total energy: -4.905 eV/atom
symmetry: No. 123
energy of formation: 24 meV per atom

Geometry as extended XYZ:
```
16
Lattice="5.2060 0.0000 0.0000 0.0000 5.2060 0.0000 0.0000 0.0000 20.8010" Properties=species:S:1:pos:R:3 pbc="T T T"
La 0.0000 0.0000 0.0000
La 0.0000 0.0000 5.2048
La 0.0000 0.0000 10.4005
La 0.0000 0.0000 15.5962
La 0.0000 2.6030 2.5418
La 0.0000 2.6030 7.7913
La 0.0000 2.6030 13.0097
La 0.0000 2.6030 18.2591
La 2.6030 0.0000 2.5418
La 2.6030 0.0000 7.7913
La 2.6030 0.0000 13.0097
La 2.6030 0.0000 18.2591
Ce 2.6030 2.6030 0.0000
Dy 2.6030 2.6030 5.1942
Dy 2.6030 2.6030 10.4005
Dy 2.6030 2.6030 15.6067
```


[11]
The following is a PBE calculation of a relaxed structure of LaCeDy3, from the Alexandria database.

Calculated values
total energy: -4.787 eV/atom
symmetry: No. 65
energy of formation: 146 meV per atom

Geometry as extended XYZ:
```
10
Lattice="2.6614 -5.5719 0.0000 2.6614 5.5719 0.0000 0.0000 0.0000 10.8328" Properties=species:S:1:pos:R:3 pbc="T T T"
La 2.6614 3.8158 0.0000
La 2.6614 -3.8158 0.0000
Ce 2.6614 1.3534 5.4164
Ce 2.6614 -1.3534 5.4164
Dy 2.6614 3.8800 3.4207
Dy 2.6614 3.8800 7.4121
Dy 2.6614 0.0000 1.9137
Dy 2.6614 0.0000 8.9191
Dy 2.6614 -3.8800 3.4207
Dy 2.6614 -3.8800 7.4121
```


[12]
The following is a PBE calculation of a relaxed structure of La3CeDy2, from the Alexandria database.

Calculated values
total energy: -4.926 eV/atom
symmetry: No. 2
energy of formation: 61 meV per atom

Geometry as extended XYZ:
```
6
Lattice="6.2464 0.0000 0.0000 -1.0752 6.2118 0.0000 -1.0736 -3.3712 5.2221" Properties=species:S:1:pos:R:3 pbc="T T T"
La 0.0000 0.0000 0.0000
La -1.0684 2.9787 1.7585
La 5.1660 -0.1381 3.4636
Ce 2.0488 1.4203 2.6110
Dy 2.0493 -1.7766 4.3535
Dy 2.0483 4.6172 0.8685
```


[13]
The following is a PBE calculation of a relaxed structure of LaCe2Dy, from the Alexandria database.

Calculated values
energy above the lowest structure with this stoichiometry: 0 meV per atom
total energy: -5.240 eV/atom
symmetry: No. 123
energy of formation: 109 meV per atom

Geometry as extended XYZ:
```
4
Lattice="4.9437 0.0000 0.0000 0.0000 4.9437 0.0000 0.0000 0.0000 5.1166" Properties=species:S:1:pos:R:3 pbc="T T T"
La 0.0000 0.0000 0.0000
Ce 0.0000 2.4719 2.5583
Ce 2.4719 0.0000 2.5583
Dy 2.4719 2.4719 0.0000
```


[14]
The following is a PBE calculation of a relaxed structure of La2CeDy6, from the Alexandria database.

Calculated values
total energy: -4.706 eV/atom
symmetry: No. 147
energy of formation: 116 meV per atom

Geometry as extended XYZ:
```
9
Lattice="9.8456 0.0000 0.0000 -4.9228 8.5266 0.0000 0.0000 0.0000 3.5303" Properties=species:S:1:pos:R:3 pbc="T T T"
La 0.0000 5.6844 0.9357
La 4.9228 2.8422 2.5946
Ce 0.0000 0.0000 1.7651
Dy -3.1382 5.7488 2.7250
Dy 1.5133 2.9344 2.7250
Dy 3.2979 0.1567 0.8052
Dy 1.6249 8.3699 2.7250
Dy 3.4095 5.5921 0.8052
Dy 8.0610 2.7778 0.8052
```


[15]
The following is a PBE calculation of a relaxed structure of LaCe2Dy, from the Alexandria database.

Calculated values
energy above the lowest structure with this stoichiometry: 3 meV per atom
total energy: -5.238 eV/atom
symmetry: No. 123
energy of formation: 112 meV per atom

Geometry as extended XYZ:
```
4
Lattice="3.4833 0.0000 0.0000 0.0000 3.4833 0.0000 0.0000 0.0000 10.1505" Properties=species:S:1:pos:R:3 pbc="T T T"
La 0.0000 0.0000 0.0000
Ce 1.7416 1.7416 2.5473
Ce 1.7416 1.7416 7.6032
Dy 0.0000 0.0000 5.0752
```


[16]
The following is a PBE calculation of a relaxed structure of La3CeDy8, from the Alexandria database.

Calculated values
total energy: -4.225 eV/atom
symmetry: No. 121
energy of formation: 569 meV per atom

Geometry as extended XYZ:
```
12
Lattice="-4.4056 4.4056 5.6496 4.4056 -4.4056 5.6496 4.4056 4.4056 -5.6496" Properties=species:S:1:pos:R:3 pbc="T T T"
La 0.0000 0.0000 0.0000
La 4.4056 0.0000 2.8248
La 0.0000 4.4056 2.8248
Ce 0.0000 0.0000 5.6496
Dy 3.3216 3.3216 -2.6580
Dy 2.0295 -2.0295 5.2929
Dy 2.3761 2.3761 0.3566
Dy 1.0840 1.0840 2.9915
Dy 1.0840 -1.0840 8.3076
Dy -2.0295 2.0295 5.2929
Dy 2.0295 2.0295 6.0062
Dy -1.0840 1.0840 8.3076
```


[17]
The following is a PBE calculation of a relaxed structure of La5CeDy, from the Alexandria database.

Calculated values
total energy: -4.836 eV/atom
symmetry: No. 12
energy of formation: 189 meV per atom

Geometry as extended XYZ:
```
7
Lattice="3.4257 -5.2309 0.0000 3.4257 5.2309 0.0000 -1.9587 0.0000 7.0089" Properties=species:S:1:pos:R:3 pbc="T T T"
La 0.0000 0.0000 0.0000
La 0.8631 2.1588 5.3692
La 4.0295 2.1588 1.6396
La 0.8631 -2.1588 5.3692
La 4.0295 -2.1588 1.6396
Ce 2.4463 0.0000 3.5044
Dy -0.9794 0.0000 3.5044
```


[18]
The following is a PBE calculation of a relaxed structure of La8CeDy4, from the Alexandria database.

Calculated values
total energy: -4.737 eV/atom
symmetry: No. 2
energy of formation: 167 meV per atom

Geometry as extended XYZ:
```
13
Lattice="6.5153 0.0000 0.0000 2.9954 6.8380 0.0000 0.7398 0.6521 10.1935" Properties=species:S:1:pos:R:3 pbc="T T T"
La 1.2468 2.4494 1.7228
La 2.8921 5.7688 1.7500
La 5.7593 5.6152 7.1596
La 4.1325 1.8271 7.0686
La 6.1181 5.6630 3.1250
La 4.4913 1.8749 3.0339
La 7.3585 1.7213 8.4435
La 9.0037 5.0407 8.4707
Ce 5.1253 3.7450 5.0968
Dy 0.3699 0.3260 5.0968
Dy 1.8676 3.7450 5.0968
Dy 3.2577 0.0000 0.0000
Dy 4.7554 3.4190 0.0000
```


[19]
The following is a PBE calculation of a relaxed structure of La3CeDy4, from the Alexandria database.

Calculated values
total energy: -4.735 eV/atom
symmetry: No. 71
energy of formation: 156 meV per atom

Geometry as extended XYZ:
```
8
Lattice="-1.7677 2.7602 13.7605 1.7677 -2.7602 13.7605 1.7677 2.7602 -13.7605" Properties=species:S:1:pos:R:3 pbc="T T T"
La 0.0000 0.0000 0.0000
La 1.7677 0.0000 4.1276
La 0.0000 2.7602 9.6329
Ce 0.0000 0.0000 13.7605
Dy 1.7677 0.0000 7.7075
Dy 1.7677 0.0000 11.0351
Dy 0.0000 2.7602 2.7254
Dy 0.0000 2.7602 6.0530
```


[20]
The following is a PBE calculation of a relaxed structure of La8Ce2Dy, from the Alexandria database.

Calculated values
total energy: -4.938 eV/atom
symmetry: No. 71
energy of formation: 143 meV per atom

Geometry as extended XYZ:
```
11
Lattice="-2.8362 4.1956 8.1643 2.8362 -4.1956 8.1643 2.8362 4.1956 -8.1643" Properties=species:S:1:pos:R:3 pbc="T T T"
La 0.0000 0.0000 2.5435
La 2.8362 2.4974 -2.3038
La 0.0000 2.4985 0.0000
La 2.8362 2.4974 2.3038
La 0.0000 1.6983 5.8606
La 0.0000 5.8928 0.0000
La 0.0000 1.6983 10.4681
La 0.0000 0.0000 13.7852
Ce 2.8362 0.0000 4.8871
Ce 0.0000 4.1956 3.2772
Dy 2.8362 0.0000 0.0000
```